Density functional theory data (PBE) for crystalline CrOsRh2 at its relaxed geometry.

```
data_CrOsRh2
_space_group_name_H-M_alt 'R 3 m'
_space_group_IT_number 160
_space_group_name_Hall 'R 3 -2"'
_cell_length_a 4.1686
_cell_length_b 4.1686
_cell_length_c 11.4834
_cell_angle_alpha 90.00
_cell_angle_beta 90.00
_cell_angle_gamma 120.00
loop_
_atom_site_label
_atom_site_fract_x
_atom_site_fract_y
_atom_site_fract_z
Cr1 0.0000 0.0000 0.0000
Os1 0.0000 0.0000 0.7796
Rh1 0.0000 0.0000 0.3254
Rh2 0.0000 0.0000 0.5521
```

**Fermi-level density of states**: 1.07 states/eV/atom
**E_form**: 0.32 eV per atom
**E**: -8.5696 eV/atom
**Total moment**: 0.00 μB per formula unit
**Calculated density**: 12.92 g cm⁻³